A plane-wave DFT calculation with PBE was carried out for a relaxed DyThPS crystal. Values from VASP.

Properties
* symmetry: R3m
* calculated density: 8.013 g/cm³
* magnetic moment: 0.0 μB/f.u.
* formation energy (no corrections): -1.68 eV per atom

Cell and atoms, written as Quantum ESPRESSO input:
```
&SYSTEM
  ibrav = 0, nat = 4, ntyp = 4
/
ATOMIC_SPECIES
Dy 162.50 Dy.upf
Th 232.04 Th.upf
P 30.97 P.upf
S 32.06 S.upf
ATOMIC_POSITIONS crystal
Dy 0.0000 0.0000 0.0000
Th 0.8190 0.8190 0.8190
P 0.4067 0.4067 0.4067
S 0.2442 0.2442 0.2442
CELL_PARAMETERS angstrom
1.9736 1.1394 7.0283
-1.9736 1.1394 7.0283
0.0000 -2.2789 7.0283
```

A plane-wave DFT calculation with PBE was carried out for a relaxed LiNi2Hg crystal. Values from VASP.

Properties
* symmetry: C2/m
* formation energy: 0.120 eV per atom
* calculated density: 9.659 g/cm³
* magnetic moment: 0.5 μB/f.u.

Cell and atoms, written as Quantum ESPRESSO input:
```
&SYSTEM
  ibrav = 0, nat = 4, ntyp = 3
/
ATOMIC_SPECIES
Li 6.94 Li.upf
Ni 58.69 Ni.upf
Hg 200.59 Hg.upf
ATOMIC_POSITIONS crystal
Li 0.0000 0.0000 0.0000
Ni 0.0000 0.5000 0.5000
Ni 0.5000 0.0000 0.5000
Hg 0.5000 0.5000 0.0000
CELL_PARAMETERS angstrom
2.5757 -4.4767 0.0000
2.5757 4.4767 0.0000
-1.2997 0.0000 2.4221
```

A plane-wave DFT calculation with PBE was carried out for a relaxed InTeRu4 crystal. Values from VASP.

Properties
* symmetry: F-43m
* calculated density: 10.398 g/cm³
* magnetic moment: 0.0 μB/f.u.
* formation energy (no corrections): 0.53 eV per atom

Cell and atoms, written as Quantum ESPRESSO input:
```
&SYSTEM
  ibrav = 0, nat = 6, ntyp = 3
/
ATOMIC_SPECIES
In 114.82 In.upf
Te 127.60 Te.upf
Ru 101.07 Ru.upf
ATOMIC_POSITIONS crystal
In 0.0000 0.0000 0.0000
Te 0.2500 0.2500 0.2500
Ru 0.1257 0.6248 0.6248
Ru 0.6248 0.1257 0.6248
Ru 0.6248 0.6248 0.1257
Ru 0.6248 0.6248 0.6248
CELL_PARAMETERS angstrom
0.0000 3.7239 3.7239
3.7239 0.0000 3.7239
3.7239 3.7239 0.0000
```

A plane-wave DFT calculation with PBE was carried out for a relaxed ScP2Br crystal. Values from VASP.

Properties
* symmetry: Pm
* calculated density: 3.253 g/cm³
* magnetic moment: 0.0 μB/f.u.
* excess energy over the best structure of this formula in the dataset: 0 meV/atom
* formation energy (no corrections): -0.84 eV per atom

Cell and atoms, written as Quantum ESPRESSO input:
```
&SYSTEM
  ibrav = 0, nat = 4, ntyp = 3
/
ATOMIC_SPECIES
Sc 44.96 Sc.upf
P 30.97 P.upf
Br 79.90 Br.upf
ATOMIC_POSITIONS crystal
Sc 0.0000 0.0000 0.0000
P 0.2392 0.5000 0.2870
P 0.6113 0.0000 0.2504
Br 0.4083 0.5000 0.8162
CELL_PARAMETERS angstrom
3.6565 0.0000 0.0000
0.0000 3.4526 0.0000
-1.8077 0.0000 7.5537
```

A plane-wave DFT calculation with PBE was carried out for a relaxed Ge2Pd2Au crystal. Values from VASP.

Properties
* symmetry: I4/mmm
* formation energy: -0.113 eV per atom
* calculated density: 10.400 g/cm³
* magnetic moment: 0.0 μB/f.u.
* excess energy over the best structure of this formula in the dataset: 97 meV/atom

Cell and atoms, written as Quantum ESPRESSO input:
```
&SYSTEM
  ibrav = 0, nat = 5, ntyp = 3
/
ATOMIC_SPECIES
Ge 72.64 Ge.upf
Pd 106.42 Pd.upf
Au 196.97 Au.upf
ATOMIC_POSITIONS crystal
Ge 0.2500 0.7500 0.5000
Ge 0.7500 0.2500 0.5000
Pd 0.1111 0.1111 0.0000
Pd 0.8889 0.8889 0.0000
Au 0.5000 0.5000 0.0000
CELL_PARAMETERS angstrom
-1.9034 1.9034 6.1156
1.9034 -1.9034 6.1156
1.9034 1.9034 -6.1156
```

A plane-wave DFT calculation with PBE was carried out for a relaxed ScBeCl crystal. Values from VASP.

Properties
* symmetry: F-43m
* calculated density: 2.429 g/cm³
* magnetic moment: 0.0 μB/f.u.
* excess energy over the best structure of this formula in the dataset: 855 meV/atom
* formation energy (no corrections): 0.49 eV per atom

Cell and atoms, written as Quantum ESPRESSO input:
```
&SYSTEM
  ibrav = 0, nat = 3, ntyp = 3
/
ATOMIC_SPECIES
Sc 44.96 Sc.upf
Be 9.01 Be.upf
Cl 35.45 Cl.upf
ATOMIC_POSITIONS crystal
Sc 0.0000 0.0000 0.0000
Be 0.7500 0.7500 0.7500
Cl 0.5000 0.5000 0.5000
CELL_PARAMETERS angstrom
0.0000 3.1265 3.1265
3.1265 0.0000 3.1265
3.1265 3.1265 0.0000
```

A plane-wave DFT calculation with PBE was carried out for a relaxed AsRh3F crystal. Values from VASP.

Properties
* symmetry: Pm-3m
* calculated density: 6.870 g/cm³
* magnetic moment: 1.9 μB/f.u.
* excess energy over the best structure of this formula in the dataset: 0 meV/atom
* formation energy (no corrections): 0.57 eV per atom

Cell and atoms, written as Quantum ESPRESSO input:
```
&SYSTEM
  ibrav = 0, nat = 5, ntyp = 3
/
ATOMIC_SPECIES
As 74.92 As.upf
Rh 102.91 Rh.upf
F 19.00 F.upf
ATOMIC_POSITIONS crystal
As 0.0000 0.0000 0.0000
Rh 0.0000 0.0000 0.5000
Rh 0.0000 0.5000 0.0000
Rh 0.5000 0.0000 0.0000
F 0.5000 0.5000 0.5000
CELL_PARAMETERS angstrom
4.5997 0.0000 0.0000
0.0000 4.5997 0.0000
0.0000 0.0000 4.5997
```

A plane-wave DFT calculation with PBE was carried out for a relaxed V2Co2Te crystal. Values from VASP.

Properties
* symmetry: P4/mbm
* calculated density: 8.186 g/cm³
* magnetic moment: 0.0 μB/f.u.
* formation energy (no corrections): 0.14 eV per atom

Cell and atoms, written as Quantum ESPRESSO input:
```
&SYSTEM
  ibrav = 0, nat = 10, ntyp = 3
/
ATOMIC_SPECIES
V 50.94 V.upf
Co 58.93 Co.upf
Te 127.60 Te.upf
ATOMIC_POSITIONS crystal
V 0.1560 0.3440 0.0000
V 0.3440 0.8440 0.0000
V 0.6560 0.1560 0.0000
V 0.8440 0.6560 0.0000
Co 0.1267 0.6267 0.5000
Co 0.3733 0.1267 0.5000
Co 0.6267 0.8733 0.5000
Co 0.8733 0.3733 0.5000
Te 0.0000 0.0000 0.5000
Te 0.5000 0.5000 0.5000
CELL_PARAMETERS angstrom
6.5350 0.0000 0.0000
0.0000 6.5350 0.0000
0.0000 0.0000 3.2998
```